Here is a geometry-optimized CaCd2Si structure from Alexandria via LeMat-Bulk. Energies are from PBE-GGA.

The calculated volume is 22.84 Å³/atom. The calculation puts the density of states at the Fermi level at 3.685 states/eV per cell. The calculation puts the uncorrected formation energy at -98 meV per atom.

It has space group I4/mmm (No. 139), with a = 4.388 Å, b = 4.388 Å, c = 9.486 Å, α = 90.00°, β = 90.00° and γ = 90.00°. The inequivalent atoms are Ca at (0.000, 0.000, 0.000), Cd at (0.000, 0.500, 0.250) and Si at (0.000, 0.000, 0.500).

---

Here is a geometry-optimized Cs3LiTe2O6 structure from Alexandria via LeMat-Bulk. Energies are from PBE-GGA.

The calculated volume is 23.87 Å³/atom. The calculation puts the density of states at the Fermi level at 0.000 states/eV per cell. The calculation puts the uncorrected formation energy at -1432 meV per atom.

It has space group P-3m1 (No. 164), with a = 6.4674 Å, b = 6.4674 Å, c = 7.9066 Å, α = 90.00°, β = 90.00° and γ = 120.00°. The inequivalent atoms are Cs at (0.0000, 0.0000, 0.0000), Cs at (0.3333, 0.6667, 0.6534), Li at (0.0000, 0.0000, 0.5000), Te at (0.3333, 0.6667, 0.2007) and O at (0.1813, 0.3627, 0.3035).

---

Here is a geometry-optimized Ca2BiRhO5 structure from Alexandria via LeMat-Bulk. Energies are from PBE-GGA.

The calculated volume is 14.72 Å³/atom. The calculation puts the density of states at the Fermi level at 4.774 states/eV per cell. The calculation puts the uncorrected formation energy at -1768 meV per atom.

It has space group Cmc2_1 (No. 36), with a = 3.310 Å, b = 17.270 Å, c = 9.270 Å, α = 90.00°, β = 90.00° and γ = 90.00°. The inequivalent atoms are Ca at (0.000, 0.144, 0.000), Ca at (0.000, 0.179, 0.628), Bi at (0.000, 0.479, 0.821), Rh at (0.000, 0.211, 0.324), O at (0.000, 0.096, 0.394), O at (0.000, 0.277, 0.963), O at (0.000, 0.310, 0.686), O at (0.000, 0.333, 0.300) and O at (0.000, 0.458, 0.513).

---

Here is a geometry-optimized Rb3NaPb structure from Alexandria via LeMat-Bulk. Energies are from PBE-GGA.

As for the formation energy: -0.032 eV per atom. The calculated volume is 56.95 Å³/atom. The calculation puts the density of states at the Fermi level at 10.807 states/eV per cell. The energy above the most stable polymorph in this dataset is 0.0000 eV per atom.

It has space group P2/c (No. 13), with a = 10.167 Å, b = 7.922 Å, c = 14.320 Å, α = 90.00°, β = 99.07° and γ = 90.00°. The inequivalent atoms are Rb at (0.006, 0.240, 0.108), Rb at (0.227, 0.306, 0.820), Rb at (0.364, 0.092, 0.575), Na at (0.413, 0.408, 0.110) and Pb at (0.337, 0.196, 0.291).

---

Here is a geometry-optimized CdSbBr2 structure from Alexandria via LeMat-Bulk. Energies are from PBE-GGA.

The calculated volume is 30.07 Å³/atom. The calculation puts the density of states at the Fermi level at 5.704 states/eV per cell. The energy above the most stable polymorph in this dataset is 0.3438 eV per atom. The calculation puts the uncorrected formation energy at 2 meV per atom.

It has space group I-4m2 (No. 119), with a = 4.208 Å, b = 4.208 Å, c = 13.585 Å, α = 90.00°, β = 90.00° and γ = 90.00°. The inequivalent atoms are Cd at (0.000, 0.000, 0.000), Sb at (0.000, 0.500, 0.750), Br at (0.000, 0.000, 0.500) and Br at (0.000, 0.500, 0.250).

---

Here is a geometry-optimized Sm2CoPd structure from Alexandria via LeMat-Bulk. Energies are from PBE-GGA.

As for the formation energy: -0.414 eV per atom. The calculated volume is 21.41 Å³/atom. The calculation puts the density of states at the Fermi level at 1.886 states/eV per cell.

It has space group P4/mmm (No. 123), with a = 3.481 Å, b = 3.481 Å, c = 7.068 Å, α = 90.00°, β = 90.00° and γ = 90.00°. The inequivalent atoms are Sm at (0.000, 0.000, 0.238), Co at (0.500, 0.500, 0.000) and Pd at (0.500, 0.500, 0.500).

---

Here is a geometry-optimized AlGaHg structure from Alexandria via LeMat-Bulk. Energies are from PBE-GGA.

As for the formation energy: 0.077 eV per atom. The calculated volume is 21.07 Å³/atom. The calculation puts the density of states at the Fermi level at 2.482 states/eV per cell.

It has space group P-1 (No. 2), with a = 3.003 Å, b = 6.015 Å, c = 7.732 Å, α = 112.23°, β = 101.06° and γ = 90.31°. The inequivalent atoms are Al at (0.002, 0.275, 0.000), Ga at (0.381, 0.881, 0.759) and Hg at (0.189, 0.684, 0.370).

---

Here is a geometry-optimized TaZn3Co structure from Alexandria via LeMat-Bulk. Energies are from PBE-GGA.

As for the formation energy: 1.661 eV per atom. The calculated volume is 24.45 Å³/atom. The calculation puts the density of states at the Fermi level at 26.301 states/eV per cell. The energy above the most stable polymorph in this dataset is 0.8864 eV per atom.

It has space group Pm-3m (No. 221), with a = 4.963 Å, b = 4.963 Å, c = 4.963 Å, α = 90.00°, β = 90.00° and γ = 90.00°. The inequivalent atoms are Ta at (0.000, 0.000, 0.000), Zn at (0.000, 0.000, 0.500) and Co at (0.500, 0.500, 0.500).

---

Here is a geometry-optimized Na2MnBiOs structure from Alexandria via LeMat-Bulk. Energies are from PBE-GGA.

As for the formation energy: 1.053 eV per atom. The calculated volume is 24.43 Å³/atom. The calculation puts the density of states at the Fermi level at 4.016 states/eV per cell.

It has space group P4/mmm (No. 123), with a = 5.228 Å, b = 5.228 Å, c = 4.468 Å, α = 90.00°, β = 90.00° and γ = 90.00°. The inequivalent atoms are Na at (0.000, 0.500, 0.000), Mn at (0.000, 0.000, 0.000), Bi at (0.500, 0.500, 0.500) and Os at (0.000, 0.000, 0.500).

---

Here is a geometry-optimized ThReF structure from Alexandria via LeMat-Bulk. Energies are from PBE-GGA.

The calculated volume is 21.05 Å³/atom. The calculation puts the density of states at the Fermi level at 0.542 states/eV per cell. The calculation puts the uncorrected formation energy at -1470 meV per atom.

It has space group Cm (No. 8), with a = 7.154 Å, b = 4.129 Å, c = 8.873 Å, α = 90.00°, β = 105.52° and γ = 90.00°. The inequivalent atoms are Th at (0.000, 0.000, 0.000), Th at (0.012, 0.500, 0.538), Re at (0.259, 0.500, 0.279), Re at (0.396, 0.000, 0.191), F at (0.108, 0.500, 0.828) and F at (0.211, 0.000, 0.636).

---

Here is a geometry-optimized BeV2Ga2Co5 structure from Alexandria via LeMat-Bulk. Energies are from PBE-GGA.

As for the formation energy: 0.040 eV per atom. The calculated volume is 12.19 Å³/atom. The calculation puts the density of states at the Fermi level at 15.006 states/eV per cell.

It has space group P4/mbm (No. 127), with a = 9.551 Å, b = 9.551 Å, c = 2.674 Å, α = 90.00°, β = 90.00° and γ = 90.00°. The inequivalent atoms are Be at (0.000, 0.000, 0.000), V at (0.155, 0.345, 0.000), Ga at (0.147, 0.647, 0.000), Co at (0.000, 0.500, 0.500) and Co at (0.138, 0.142, 0.500).

---

Here is a geometry-optimized SiSbTe structure from Alexandria via LeMat-Bulk. Energies are from PBE-GGA.

The calculated volume is 25.54 Å³/atom. The calculation puts the density of states at the Fermi level at 0.791 states/eV per cell. The energy above the most stable polymorph in this dataset is 0.0000 eV per atom. The calculation puts the uncorrected formation energy at 178 meV per atom.

It has space group P3m1 (No. 156), with a = 4.0961 Å, b = 4.0961 Å, c = 5.2740 Å, α = 90.00°, β = 90.00° and γ = 120.00°. The inequivalent atoms are Si at (0.0000, 0.0000, 0.0000), Sb at (0.3333, 0.6667, 0.7311) and Te at (0.6667, 0.3333, 0.3194).

---

- What is the formula in the twelfth record?
  SiSbTe

---

- Look up the calculated volume of the eleventh one.
  12.19 Å³/atom

---

- Look up the calculated volume of the second one.
  23.87 Å³/atom

---

- The lowest calculated volume belongs to which entry?
  BeV2Ga2Co5